Entry from Alexandria: a relaxed structure of Zn3SiAu (PBE).

Unit cell a=4.8544 b=4.8544 c=4.8544 alpha=90.00 beta=90.00 gamma=90.00
Positions (direct):
Zn  0.0000  0.0000  0.5000
Zn  0.0000  0.5000  0.0000
Zn  0.5000  0.0000  0.0000
Si  0.5000  0.5000  0.5000
Au  0.0000  0.0000  0.0000

Properties
**E_tot**: -0.0718 hartree per atom
**Formation energy without anion corrections**: 0.550 eV/atom
**E above lowest polymorph**: 144.9 meV per atom

---

Entry from Alexandria: a relaxed structure of ZnSi2Au (PBE).

Unit cell a=6.0642 b=6.0642 c=6.0642 alpha=154.29 beta=134.98 gamma=52.56
Positions (direct):
Zn  0.0000  0.0000  0.0000
Si  0.2770  0.7770  0.5000
Si  0.7230  0.2230  0.5000
Au  0.5000  0.5000  0.0000

Properties
**E_tot**: -0.1321 hartree per atom
**Formation energy without anion corrections**: 0.256 eV/atom

---

Entry from Alexandria: a relaxed structure of Zn2SiAu7 (PBE).

Unit cell a=7.2992 b=7.2992 c=8.7408 alpha=106.66 beta=106.66 gamma=53.73
Positions (direct):
Zn  0.1813  0.2524  0.3562
Zn  0.2524  0.1813  0.8562
Zn  0.7476  0.8187  0.1438
Zn  0.8187  0.7476  0.6438
Si  0.3102  0.6898  0.2500
Si  0.6898  0.3102  0.7500
Au  0.0836  0.6813  0.4139
Au  0.0944  0.9056  0.7500
Au  0.0960  0.6405  0.9633
Au  0.2940  0.3976  0.6725
Au  0.3187  0.9164  0.0861
Au  0.3595  0.9040  0.5367
Au  0.3976  0.2940  0.1725
Au  0.6024  0.7060  0.8275
Au  0.6405  0.0960  0.4633
Au  0.6813  0.0836  0.9139
Au  0.7060  0.6024  0.3275
Au  0.9040  0.3595  0.0367
Au  0.9056  0.0944  0.2500
Au  0.9164  0.3187  0.5861

Properties
**E_tot**: -0.1164 hartree per atom
**Formation energy without anion corrections**: -0.077 eV/atom

---

Entry from Alexandria: a relaxed structure of Zn2SiAu2 (PBE).

Unit cell a=7.7046 b=7.7046 c=2.8824 alpha=90.00 beta=90.00 gamma=90.00
Positions (direct):
Zn  0.1249  0.3751  0.0000
Zn  0.3751  0.8751  0.0000
Zn  0.6249  0.1249  0.0000
Zn  0.8751  0.6249  0.0000
Si  0.0000  0.0000  0.5000
Si  0.5000  0.5000  0.5000
Au  0.1743  0.6743  0.5000
Au  0.3257  0.1743  0.5000
Au  0.6743  0.8257  0.5000
Au  0.8257  0.3257  0.5000

Properties
**E_tot**: -0.1055 hartree per atom
**Formation energy without anion corrections**: 0.034 eV/atom
**E above lowest polymorph**: 0.0 meV per atom

---

Q: Look up the E_tot of the first one.
A: -0.0718 hartree per atom